1.
An optimized crystal structure of RbMo3S5, computed with GGA-PBE.

Cell and atoms, written as POSCAR:
```
RbMo3S5
1.0
5.674 0.000 0.000
-2.837 4.914 0.000
0.000 0.000 7.311
Rb Mo S
1 3 5
Direct
0.000 0.000 0.000
0.000 0.500 0.500
0.500 0.000 0.500
0.500 0.500 0.500
0.000 0.000 0.500
0.333 0.667 0.253
0.333 0.667 0.747
0.667 0.333 0.253
0.667 0.333 0.747
```

Spin magnetization in μB/f.u.: 3.7
E in eV/cell: -58.51


2.
An optimized crystal structure of Pr5Sb3, computed with GGA-PBE.

Cell and atoms, written as POSCAR:
```
Pr5Sb3
1.0
9.418 0.000 0.000
-4.709 8.156 0.000
0.000 0.000 6.569
Pr Sb
10 6
Direct
0.000 0.251 0.250
0.000 0.749 0.750
0.251 0.000 0.250
0.251 0.251 0.750
0.333 0.667 0.000
0.333 0.667 0.500
0.667 0.333 0.000
0.667 0.333 0.500
0.749 0.000 0.750
0.749 0.749 0.250
0.000 0.386 0.750
0.000 0.614 0.250
0.386 0.000 0.750
0.386 0.386 0.250
0.614 0.000 0.250
0.614 0.614 0.750
```

Spin magnetization in μB/f.u.: 0.0
E in eV/cell: -88.07